1.
Compound: Ac2Pr5Tm12
Source: Alexandria
Functional: PBE
Structure: optimized geometry

a b c (Å): 12.532 12.532 8.616
angles (deg): 47.84 47.84 43.84
Fractional positions:
Tm (0.556, 0.556, 0.217)
Tm (0.444, 0.444, 0.783)
Tm (0.021, 0.662, 0.065)
Tm (0.814, 0.435, 0.397)
Tm (0.662, 0.021, 0.065)
Tm (0.338, 0.979, 0.935)
Tm (0.435, 0.814, 0.397)
Tm (0.186, 0.565, 0.603)
Tm (0.901, 0.901, 0.314)
Tm (0.979, 0.338, 0.935)
Tm (0.565, 0.186, 0.603)
Tm (0.099, 0.099, 0.686)
Pr (0.698, 0.698, 0.606)
Pr (0.237, 0.237, 0.107)
Pr (0.000, 0.000, 0.500)
Pr (0.763, 0.763, 0.893)
Pr (0.302, 0.302, 0.394)
Ac (0.303, 0.697, 0.000)
Ac (0.697, 0.303, 0.000)

Output
- formation enthalpy at 0 K (eV/atom) = 0.153
- uncorrected energy (eV/cell) = -82.86
- SG = C2/m (12)

=====

2.
Compound: Tb2Pr2Nd7
Source: Alexandria
Functional: PBE
Structure: optimized geometry

a b c (Å): 8.524 6.888 6.888
angles (deg): 87.77 79.80 79.80
Fractional positions:
Tb (0.500, 0.806, 0.194)
Tb (0.500, 0.194, 0.806)
Nd (0.517, 0.298, 0.298)
Nd (0.483, 0.702, 0.702)
Nd (0.181, 0.097, 0.506)
Nd (0.819, 0.494, 0.903)
Nd (0.000, 0.000, 0.000)
Nd (0.181, 0.506, 0.097)
Nd (0.819, 0.903, 0.494)
Pr (0.163, 0.594, 0.594)
Pr (0.837, 0.406, 0.406)

Output
- formation enthalpy at 0 K (eV/atom) = 0.166
- uncorrected energy (eV/cell) = -50.36
- E above lowest polymorph (meV per atom) = 135
- SG = C2/m (12)

=====

3.
Compound: Y6Er5Th2
Source: Alexandria
Functional: PBE
Structure: optimized geometry

a b c (Å): 3.573 11.635 20.249
angles (deg): 90.00 90.00 90.00
Fractional positions:
Y (0.000, 0.935, 0.927)
Y (0.000, 0.565, 0.427)
Y (0.500, 0.179, 0.626)
Y (0.000, 0.423, 0.860)
Y (0.000, 0.923, 0.640)
Y (0.500, 0.679, 0.874)
Y (0.500, 0.321, 0.126)
Y (0.500, 0.821, 0.374)
Y (0.000, 0.435, 0.573)
Y (0.000, 0.077, 0.360)
Y (0.000, 0.065, 0.073)
Y (0.000, 0.577, 0.140)
Er (0.500, 0.909, 0.783)
Er (0.500, 0.803, 0.063)
Er (0.500, 0.591, 0.283)
Er (0.500, 0.697, 0.563)
Er (0.500, 0.000, 0.500)
Er (0.500, 0.409, 0.717)
Er (0.500, 0.500, 0.000)
Er (0.500, 0.303, 0.437)
Er (0.500, 0.197, 0.937)
Er (0.500, 0.091, 0.217)
Th (0.000, 0.831, 0.224)
Th (0.000, 0.169, 0.776)
Th (0.000, 0.331, 0.276)
Th (0.000, 0.669, 0.724)

Output
- formation enthalpy at 0 K (eV/atom) = 0.117
- uncorrected energy (eV/cell) = -149.83
- SG = Pbam (55)

=====

4.
Compound: Al2InAu5
Source: Alexandria
Functional: PBE
Structure: optimized geometry

a b c (Å): 7.018 7.749 11.007
angles (deg): 90.00 90.00 90.00
Fractional positions:
Au (0.500, 0.222, 0.408)
Au (0.221, 0.452, 0.238)
Au (0.779, 0.452, 0.238)
Au (0.221, 0.952, 0.262)
Au (0.779, 0.048, 0.738)
Au (0.769, 0.000, 0.000)
Au (0.500, 0.278, 0.908)
Au (0.000, 0.787, 0.591)
Au (0.000, 0.287, 0.909)
Au (0.231, 0.000, 0.000)
Au (0.221, 0.048, 0.738)
Au (0.779, 0.548, 0.762)
Au (0.000, 0.213, 0.409)
Au (0.000, 0.713, 0.091)
Au (0.500, 0.722, 0.092)
Au (0.231, 0.500, 0.500)
Au (0.221, 0.548, 0.762)
Au (0.769, 0.500, 0.500)
Au (0.500, 0.778, 0.592)
Au (0.779, 0.952, 0.262)
Al (0.256, 0.500, 0.000)
Al (0.000, 0.795, 0.858)
Al (0.000, 0.295, 0.642)
Al (0.744, 0.500, 0.000)
Al (0.000, 0.205, 0.142)
Al (0.744, 0.000, 0.500)
Al (0.000, 0.705, 0.358)
Al (0.256, 0.000, 0.500)
In (0.500, 0.196, 0.154)
In (0.500, 0.804, 0.846)
In (0.500, 0.304, 0.654)
In (0.500, 0.696, 0.346)

Output
- formation enthalpy at 0 K (eV/atom) = -0.228
- uncorrected energy (eV/cell) = -113.73
- SG = Pbam (55)